Record 1
NdTm3Th4Se8 PBE relaxed; space-group type = No. 166; E = -6.352 eV per atom
1.0
8.062 0.000 0.000
0.000 8.503 0.305
-4.031 -4.026 5.703
Nd Tm Th Se
1 3 4 8
direct
0.000 0.500 0.000
0.500 0.500 0.000
0.500 0.500 0.500
0.000 0.500 0.500
0.500 0.000 0.000
0.500 0.000 0.500
0.000 0.000 0.000
0.000 0.000 0.500
0.249 0.734 0.985
0.249 0.734 0.498
0.257 0.271 0.514
0.736 0.734 0.985
0.264 0.266 0.015
0.743 0.729 0.486
0.751 0.266 0.502
0.751 0.266 0.015


Record 2
LaTl2Zn PBE relaxed; formation enthalpy at 0 K = -0.154 eV/atom; space-group type = No. 71; E = -2.888 eV per atom
1.0
-1.147 3.365 5.188
-0.803 -3.091 5.418
4.019 0.817 -4.768
La Tl Zn
1 2 1
direct
0.250 0.750 0.500
0.968 0.968 0.000
0.532 0.532 0.000
0.750 0.250 0.500